1.
# InTcN2O, optimized geometry, DFT PBE
# - Uncorrected formation energy: 1.56 eV/atom
data_InTcN2O
_chemical_formula_sum 'In1 Tc1 N2 O1'
_space_group_name_H-M_alt 'P 4/m m m'
_space_group_IT_number 123
_space_group_name_Hall '-P 4 2'
_cell_length_a 4.1198
_cell_length_b 4.1198
_cell_length_c 4.0153
_cell_angle_alpha 90.00
_cell_angle_beta 90.00
_cell_angle_gamma 90.00
loop_
_atom_site_label
_atom_site_fract_x
_atom_site_fract_y
_atom_site_fract_z
_atom_site_occupancy
In1 0.0000 0.0000 0.0000 1
Tc1 0.5000 0.5000 0.5000 1
N1 0.0000 0.5000 0.0000 1
O1 0.0000 0.0000 0.5000 1



2.
# InTeN2O, optimized geometry, DFT PBE
# - Uncorrected formation energy: 1.75 eV/atom
data_InTeN2O
_chemical_formula_sum 'In1 Te1 N2 O1'
_space_group_name_H-M_alt 'P 4/m m m'
_space_group_IT_number 123
_space_group_name_Hall '-P 4 2'
_cell_length_a 4.0722
_cell_length_b 4.0722
_cell_length_c 6.7884
_cell_angle_alpha 90.00
_cell_angle_beta 90.00
_cell_angle_gamma 90.00
loop_
_atom_site_label
_atom_site_fract_x
_atom_site_fract_y
_atom_site_fract_z
_atom_site_occupancy
In1 0.0000 0.0000 0.0000 1
Te1 0.0000 0.0000 0.5000 1
N1 0.0000 0.5000 0.0000 1
O1 0.5000 0.5000 0.5000 1



3.
# InTeN2O, optimized geometry, DFT PBE
# - Uncorrected formation energy: 1.21 eV/atom
data_InTeN2O
_chemical_formula_sum 'In1 Te1 N2 O1'
_space_group_name_H-M_alt 'P 4/m m m'
_space_group_IT_number 123
_space_group_name_Hall '-P 4 2'
_cell_length_a 4.1884
_cell_length_b 4.1884
_cell_length_c 4.1549
_cell_angle_alpha 90.00
_cell_angle_beta 90.00
_cell_angle_gamma 90.00
loop_
_atom_site_label
_atom_site_fract_x
_atom_site_fract_y
_atom_site_fract_z
_atom_site_occupancy
In1 0.0000 0.0000 0.0000 1
Te1 0.5000 0.5000 0.5000 1
N1 0.0000 0.5000 0.0000 1
O1 0.0000 0.0000 0.5000 1



4.
# InTeNO2, optimized geometry, DFT PBE
# - Uncorrected formation energy: 0.40 eV/atom
data_InTeNO2
_chemical_formula_sum 'In1 Te1 N1 O2'
_space_group_name_H-M_alt 'P 4/m m m'
_space_group_IT_number 123
_space_group_name_Hall '-P 4 2'
_cell_length_a 4.1059
_cell_length_b 4.1059
_cell_length_c 4.3223
_cell_angle_alpha 90.00
_cell_angle_beta 90.00
_cell_angle_gamma 90.00
loop_
_atom_site_label
_atom_site_fract_x
_atom_site_fract_y
_atom_site_fract_z
_atom_site_occupancy
In1 0.0000 0.0000 0.0000 1
Te1 0.5000 0.5000 0.5000 1
N1 0.0000 0.0000 0.5000 1
O1 0.0000 0.5000 0.0000 1



no.,uncorrected energy (eV per atom)
1,-5.379
2,-3.752
3,-4.289
4,-4.421